one:
A plane-wave DFT calculation with PBE was carried out for a relaxed In12Hg7Bi crystal.

Cell and atoms, written as extended XYZ:
```
20
Lattice="9.049 -0.378 -0.567 -2.879 8.587 -0.567 -2.879 -3.830 7.706" Properties=species:S:1:pos:R:3 pbc="T T T"
In 6.889 2.643 0.418
In 0.623 -2.446 6.946
In -0.092 0.356 5.359
In 4.645 1.249 2.393
In -1.353 3.130 4.180
In 0.367 4.942 2.074
In -2.523 6.441 2.600
In 2.668 6.825 -0.373
In 2.924 -0.563 4.498
In -3.598 1.736 6.155
In 3.383 4.023 1.214
In 5.814 -2.062 3.973
Hg 7.391 -0.142 2.121
Hg 3.414 -3.280 5.887
Hg -2.192 -0.762 7.332
Hg -4.100 4.521 4.452
Hg 5.483 5.141 -0.759
Hg 1.646 2.190 3.286
Hg -0.123 7.659 0.686
Bi 0.000 0.000 0.000
```

spin magnetization: 0.0000 μB/atom
volume: 549.9 Å³/f.u.
DOS(E_F): 7.3 states/eV per cell
symmetry: R-3 (148)

two:
A plane-wave DFT calculation with PBE was carried out for a relaxed In12Hg7Bi crystal.

Cell and atoms, written as extended XYZ:
```
20
Lattice="-3.255 5.154 4.142 -9.547 -5.802 -4.948 -6.584 -4.176 4.567" Properties=species:S:1:pos:R:3 pbc="T T T"
Hg -7.727 -4.446 -2.604
Hg -3.343 -0.304 1.541
Hg -11.660 -0.378 6.365
Hg -10.179 -2.144 0.433
Hg -9.208 -2.680 3.328
Hg -1.628 2.577 2.071
Hg -16.043 -4.519 2.220
In -6.024 -0.656 4.716
In -7.832 -0.012 1.712
In -12.371 -7.199 0.037
In -5.750 -2.338 2.058
In -13.637 -2.486 1.703
In -12.085 -2.877 4.602
In -13.363 -4.168 -0.955
In -9.892 -5.024 -0.645
In -11.554 -4.812 2.049
In -7.016 2.375 3.724
In -9.495 0.201 4.406
In -7.301 -1.947 -0.841
Bi 0.000 0.000 0.000
```

spin magnetization: 0.0000 μB/atom
volume: 553.1 Å³/f.u.
DOS(E_F): 7.7 states/eV per cell
symmetry: P-1 (2)

Which structure is most stable? one, by 8 meV/atom over the runner-up.

one:
A plane-wave DFT calculation with PBE was carried out for a relaxed In2Hg3Bi crystal.

Cell and atoms, written as extended XYZ:
```
12
Lattice="-1.525 -4.500 0.645 4.080 -0.627 5.273 -7.652 3.502 6.338" Properties=species:S:1:pos:R:3 pbc="T T T"
Hg -0.879 -1.962 2.056
Hg -0.178 -1.718 5.414
Hg -5.780 0.226 5.728
Hg -4.714 0.414 9.558
Hg -1.581 1.176 4.461
Hg -1.058 1.556 8.354
Bi 1.418 -0.027 3.164
Bi -7.018 3.214 5.826
In 2.111 0.212 6.467
In -3.922 -0.739 3.394
In -4.055 2.413 7.248
In -2.786 -0.638 6.780
```

spin magnetization: 0.0000 μB/atom
volume: 169.1 Å³/f.u.
DOS(E_F): 4.5 states/eV per cell
symmetry: Pmc2_1 (26)

two:
A plane-wave DFT calculation with PBE was carried out for a relaxed In2Hg3Bi crystal.

Cell and atoms, written as extended XYZ:
```
12
Lattice="3.471 0.000 0.000 -1.736 8.299 -2.953 0.000 0.391 11.986" Properties=species:S:1:pos:R:3 pbc="T T T"
Hg 0.000 1.543 4.908
Hg 0.000 6.929 1.381
Hg 1.736 1.762 7.651
Hg 0.000 4.799 5.809
Hg 1.736 7.148 4.125
Hg 1.736 3.891 3.224
In 0.000 7.852 7.012
In 1.736 0.838 2.021
In 1.736 4.446 0.238
In 0.000 4.244 8.795
Bi 0.000 2.237 11.268
Bi 1.736 6.454 -2.235
```

spin magnetization: 0.0000 μB/atom
volume: 174.6 Å³/f.u.
DOS(E_F): 4.4 states/eV per cell
symmetry: C2/m (12)

Which structure is most stable? two, by 22 meV/atom over the runner-up.

one:
A plane-wave DFT calculation with PBE was carried out for a relaxed In5Hg4Bi2 crystal.

Cell and atoms, written as extended XYZ:
```
11
Lattice="-2.639 -2.015 0.571 -4.357 2.684 -9.265 9.852 -8.457 5.067" Properties=species:S:1:pos:R:3 pbc="T T T"
Bi -1.426 -0.120 -5.770
Bi 4.283 -7.667 2.143
In 2.291 -5.359 1.495
In 1.059 -5.458 -3.955
In -1.319 -1.008 0.285
In 1.798 -2.329 0.328
In 0.566 -2.428 -5.122
Hg -0.890 0.271 -2.664
Hg -0.365 -3.152 -2.074
Hg 3.747 -8.059 -0.963
Hg 3.221 -4.636 -1.553
```

spin magnetization: 0.0000 μB/atom
volume: 316.2 Å³/f.u.
DOS(E_F): 3.3 states/eV per cell
symmetry: P-1 (2)

two:
A plane-wave DFT calculation with PBE was carried out for a relaxed In5Hg4Bi2 crystal.

Cell and atoms, written as extended XYZ:
```
11
Lattice="3.485 0.000 0.000 0.000 10.597 0.000 -1.743 -5.298 8.607" Properties=species:S:1:pos:R:3 pbc="T T T"
Hg 1.743 5.298 1.463
Hg 0.000 7.932 0.000
Hg 0.000 2.664 0.000
Hg 0.000 0.000 7.144
Bi 0.000 0.000 3.149
Bi 1.743 5.298 5.458
In 1.743 1.924 5.467
In 1.743 -1.924 5.467
In 0.000 3.374 3.140
In 1.743 0.000 0.000
In 0.000 7.222 3.140
```

spin magnetization: 0.0000 μB/atom
volume: 317.9 Å³/f.u.
DOS(E_F): 3.9 states/eV per cell
symmetry: Immm (71)

Which structure is most stable? one, by 24 meV/atom over the runner-up.

one:
A plane-wave DFT calculation with PBE was carried out for a relaxed In4HgBi crystal.

Cell and atoms, written as extended XYZ:
```
12
Lattice="-3.536 -4.117 0.676 1.107 0.383 8.123 -6.087 5.360 0.577" Properties=species:S:1:pos:R:3 pbc="T T T"
In -2.921 3.728 7.341
In -3.587 0.039 3.459
In -4.929 1.587 5.916
In -1.826 -0.840 7.460
In -8.204 0.495 4.121
In -5.595 -2.103 2.035
In -0.313 1.131 5.255
In -6.690 2.465 1.915
Hg -2.490 2.871 4.350
Hg -4.812 0.622 0.626
Bi -1.215 -1.867 4.399
Bi 0.000 0.000 0.000
```

spin magnetization: 0.0000 μB/atom
volume: 182.5 Å³/f.u.
DOS(E_F): 5.1 states/eV per cell
symmetry: P2_1/c (14)

two:
A plane-wave DFT calculation with PBE was carried out for a relaxed In4HgBi crystal.

Cell and atoms, written as extended XYZ:
```
6
Lattice="-1.650 2.003 2.986 0.194 -3.231 2.275 9.783 2.984 3.404" Properties=species:S:1:pos:R:3 pbc="T T T"
In 0.912 -0.114 3.201
In 5.003 0.742 7.507
In 3.324 1.014 1.157
In 7.415 1.870 5.463
Bi 0.000 0.000 0.000
Hg 4.163 0.878 4.332
```

spin magnetization: 0.0000 μB/atom
volume: 168.7 Å³/f.u.
DOS(E_F): 2.0 states/eV per cell
symmetry: P4/mmm (123)

three:
A plane-wave DFT calculation with PBE was carried out for a relaxed In4HgBi crystal.

Cell and atoms, written as extended XYZ:
```
6
Lattice="6.276 0.000 0.000 3.138 5.435 0.000 3.138 1.812 5.124" Properties=species:S:1:pos:R:3 pbc="T T T"
Hg 0.000 0.000 0.000
In 6.276 1.813 3.202
In 7.843 4.528 3.202
In 4.708 4.528 3.202
In 6.276 3.623 0.642
Bi 3.138 1.812 1.281
```

spin magnetization: 0.0000 μB/atom
volume: 174.8 Å³/f.u.
DOS(E_F): 2.8 states/eV per cell
symmetry: F-43m (216)

Which structure is most stable? two, by 26 meV/atom over the runner-up.

one:
A plane-wave DFT calculation with PBE was carried out for a relaxed LiInHgBi crystal.

Cell and atoms, written as extended XYZ:
```
4
Lattice="-1.521 2.147 2.065 -1.467 -2.564 1.586 7.697 -1.558 4.580" Properties=species:S:1:pos:R:3 pbc="T T T"
In 3.242 -1.374 3.816
Bi 4.764 -2.809 6.429
Hg -0.012 -1.458 4.216
Li 0.167 -1.157 1.326
```

spin magnetization: 0.0000 μB/atom
volume: 100.2 Å³/f.u.
DOS(E_F): 1.2 states/eV per cell
symmetry: Cm (8)

two:
A plane-wave DFT calculation with PBE was carried out for a relaxed LiInHgBi crystal.

Cell and atoms, written as extended XYZ:
```
4
Lattice="5.277 0.000 0.000 2.638 4.570 0.000 2.638 1.523 4.308" Properties=species:S:1:pos:R:3 pbc="T T T"
In 7.915 4.570 3.231
Hg 5.277 3.046 2.154
Li 2.638 1.523 1.077
Bi 0.000 0.000 0.000
```

spin magnetization: 0.0000 μB/atom
volume: 103.9 Å³/f.u.
DOS(E_F): 4.0 states/eV per cell
symmetry: F-43m (216)

Which structure is most stable? one, by 38 meV/atom over the runner-up.

one:
A plane-wave DFT calculation with PBE was carried out for a relaxed MgInHgBi crystal.

Cell and atoms, written as extended XYZ:
```
4
Lattice="-2.706 1.807 -1.083 0.997 -0.454 -3.249 -4.842 -7.516 -0.437" Properties=species:S:1:pos:R:3 pbc="T T T"
In -4.720 -5.323 -2.515
Hg -2.625 -4.075 -0.237
Bi -0.469 -0.727 -0.042
Mg -2.537 -1.935 -2.318
```

spin magnetization: 0.0000 μB/atom
volume: 105.3 Å³/f.u.
DOS(E_F): 1.9 states/eV per cell
symmetry: P4mm (99)

two:
A plane-wave DFT calculation with PBE was carried out for a relaxed MgInHgBi crystal.

Cell and atoms, written as extended XYZ:
```
4
Lattice="-2.565 -3.811 -2.767 2.771 -3.992 -2.268 -0.353 -4.972 1.979" Properties=species:S:1:pos:R:3 pbc="T T T"
In -0.073 -6.387 -1.528
Mg 0.000 0.000 0.000
Bi -0.110 -9.581 -2.292
Hg -0.037 -3.194 -0.764
```

spin magnetization: 0.0000 μB/atom
volume: 109.1 Å³/f.u.
DOS(E_F): 1.0 states/eV per cell
symmetry: F-43m (216)

Which structure is most stable? one, by 16 meV/atom over the runner-up.